(1)
A relaxed structure of HfAlAg2, computed with GGA-PBE.

VASP energy in eV per atom: -4.87
Space-group type: F-43m (216)

a = 4.660 Å, b = 4.660 Å, c = 4.660 Å
α = 60.00°, β = 60.00°, γ = 60.00°
Fractional coordinates of all 4 atoms:
Hf1 0.000 0.000 0.000
Al1 0.750 0.750 0.750
Ag1 0.250 0.250 0.250
Ag2 0.500 0.500 0.500


(2)
A relaxed structure of TmSi2NiGe, computed with GGA-PBE.

Polymorph energy (0 for the lowest one) in meV/atom: 11
Space-group type: Cmmm (65)

a = 10.737 Å, b = 10.737 Å, c = 3.925 Å
α = 90.00°, β = 90.00°, γ = 158.44°
Fractional coordinates of all 10 atoms:
Tm1 0.170 0.830 0.000
Tm2 0.830 0.170 0.000
Si1 0.281 0.719 0.500
Si2 0.443 0.557 0.000
Si3 0.557 0.443 0.000
Si4 0.719 0.281 0.500
Ni1 0.387 0.613 0.500
Ni2 0.613 0.387 0.500
Ge1 0.058 0.942 0.500
Ge2 0.942 0.058 0.500


(3)
A relaxed structure of La2TmMg3Tl2Cd, computed with GGA-PBE.

VASP energy in eV per atom: -3.07
Space-group type: Amm2 (38)

a = 4.756 Å, b = 7.661 Å, c = 7.661 Å
α = 118.74°, β = 90.00°, γ = 90.00°
Fractional coordinates of all 9 atoms:
La1 0.000 0.211 0.789
La2 0.000 0.789 0.211
Tm1 0.000 0.636 0.636
Mg1 0.500 0.216 0.454
Mg2 0.500 0.454 0.216
Mg3 0.500 0.977 0.977
Tl1 0.500 0.551 0.871
Tl2 0.500 0.871 0.551
Cd1 0.000 0.227 0.227


(4)
A relaxed structure of TcHgB, computed with GGA-PBE.

Polymorph energy (0 for the lowest one) in meV/atom: 746
Space-group type: F-43m (216)

a = 4.170 Å, b = 4.170 Å, c = 4.170 Å
α = 60.00°, β = 60.00°, γ = 60.00°
Fractional coordinates of all 3 atoms:
Tc1 0.000 0.000 0.000
Hg1 0.250 0.250 0.250
B1 0.750 0.750 0.750